This record from Alexandria via LeMat-Bulk describes an optimized crystal structure of NdMn2O5. The functional is GGA+U.

a b c (Å): 5.0652 5.0652 9.6196
angles (deg): 90.00 90.00 131.13
Atoms (fractional coordinates):
Nd  0.0295  0.9705  0.7500
Nd  0.9705  0.0295  0.2500
Mn  0.3502  0.6498  0.5513
Mn  0.3502  0.6498  0.9487
Mn  0.6498  0.3502  0.0513
Mn  0.6498  0.3502  0.4487
O  0.1577  0.8423  0.0343
O  0.1577  0.8423  0.4657
O  0.2831  0.7169  0.7500
O  0.4547  0.5453  0.1204
O  0.4547  0.5453  0.3796
O  0.5453  0.4547  0.6204
O  0.5453  0.4547  0.8796
O  0.7169  0.2831  0.2500
O  0.8423  0.1577  0.5343
O  0.8423  0.1577  0.9657

Properties
**DFT total energy**: -61.0 eV per formula unit
**Symmetry**: Cmcm (63)
**Size of the total moment**: 14.0 μB per cell